Record 1
The following is a PBE calculation of a geometry-optimized FeCuAsPt structure, from the Open Quantum Materials Database.

Lattice parameters (Å, degrees): 4.2946 4.2946 4.2946 60.00 60.00 60.00
Atoms (fractional coordinates):
1 Fe 0.0000 0.0000 0.0000
2 Cu 0.2500 0.2500 0.2500
3 As 0.7500 0.7500 0.7500
4 Pt 0.5000 0.5000 0.5000

Computed properties:
Its space group is F-43m (216). The value obtained for the theoretical density is 11.5 g/cm3. The total energy is -5.66 eV/atom. The calculation puts the total magnetization at 2.67 μB/cell.

Record 2
The following is a PBE calculation of a geometry-optimized ScFeCu4As2 structure, from the Open Quantum Materials Database.

Lattice parameters (Å, degrees): 4.0666 4.0666 6.8486 90.00 90.00 90.00
Atoms (fractional coordinates):
1 Sc 0.0000 0.0000 0.0000
2 Fe 0.5000 0.5000 0.5000
3 Cu 0.0000 0.5000 0.2774
4 Cu 0.0000 0.5000 0.7226
5 Cu 0.5000 0.0000 0.2774
6 Cu 0.5000 0.0000 0.7226
7 As 0.0000 0.0000 0.5000
8 As 0.5000 0.5000 0.0000

Computed properties:
Its space group is P4/mmm (123). The value obtained for the theoretical density is 7.4 g/cm3. The total energy is -4.84 eV/atom. The calculation puts the total magnetization at 2.89 μB/cell.

Record 3
The following is a PBE calculation of a geometry-optimized FeCuSiAs structure, from the Open Quantum Materials Database.

Lattice parameters (Å, degrees): 4.2986 4.2986 4.2986 60.00 60.00 60.00
Atoms (fractional coordinates):
1 Fe 0.0000 0.0000 0.0000
2 Cu 0.7500 0.7500 0.7500
3 Si 0.2500 0.2500 0.2500
4 As 0.5000 0.5000 0.5000

Computed properties:
Its space group is F-43m (216). The value obtained for the theoretical density is 6.6 g/cm3. The total energy is -5.10 eV/atom. The calculation puts the total magnetization at 1.99 μB/cell.

Record 4
The following is a PBE calculation of a geometry-optimized FeCuSiAs structure, from the Open Quantum Materials Database.

Lattice parameters (Å, degrees): 4.1742 4.1742 4.1742 60.00 60.00 60.00
Atoms (fractional coordinates):
1 Fe 0.0000 0.0000 0.0000
2 Cu 0.5000 0.5000 0.5000
3 Si 0.2500 0.2500 0.2500
4 As 0.7500 0.7500 0.7500

Computed properties:
Its space group is F-43m (216). The value obtained for the theoretical density is 7.2 g/cm3. The total energy is -5.29 eV/atom. The calculation puts the total magnetization at 0.03 μB/cell.

Record 5
The following is a PBE calculation of a geometry-optimized FeCuSnAs structure, from the Open Quantum Materials Database.

Lattice parameters (Å, degrees): 4.5198 4.5198 4.5198 60.00 60.00 60.00
Atoms (fractional coordinates):
1 Fe 0.0000 0.0000 0.0000
2 Cu 0.5000 0.5000 0.5000
3 Sn 0.2500 0.2500 0.2500
4 As 0.7500 0.7500 0.7500

Computed properties:
Its space group is F-43m (216). The value obtained for the theoretical density is 8.0 g/cm3. The total energy is -4.85 eV/atom. The calculation puts the total magnetization at 1.98 μB/cell.

Record 6
The following is a PBE calculation of a geometry-optimized TaFeCuAs structure, from the Open Quantum Materials Database.

Lattice parameters (Å, degrees): 4.3042 4.3042 4.3042 60.00 60.00 60.00
Atoms (fractional coordinates):
1 Ta 0.0000 0.0000 0.0000
2 Fe 0.5000 0.5000 0.5000
3 Cu 0.7500 0.7500 0.7500
4 As 0.2500 0.2500 0.2500

Computed properties:
Its space group is F-43m (216). The value obtained for the theoretical density is 11.1 g/cm3. The total energy is -6.97 eV/atom. The calculation puts the total magnetization at 1.63 μB/cell.

Record 7
The following is a PBE calculation of a geometry-optimized TaFeCuAs structure, from the Open Quantum Materials Database.

Lattice parameters (Å, degrees): 4.2906 4.2906 4.2906 60.00 60.00 60.00
Atoms (fractional coordinates):
1 Ta 0.0000 0.0000 0.0000
2 Fe 0.2500 0.2500 0.2500
3 Cu 0.7500 0.7500 0.7500
4 As 0.5000 0.5000 0.5000

Computed properties:
Its space group is F-43m (216). The value obtained for the theoretical density is 11.2 g/cm3. The total energy is -6.95 eV/atom. The calculation puts the total magnetization at 0.63 μB/cell.

Record 8
The following is a PBE calculation of a geometry-optimized TaFeCuAs structure, from the Open Quantum Materials Database.

Lattice parameters (Å, degrees): 4.3281 4.3281 4.3281 60.00 60.00 60.00
Atoms (fractional coordinates):
1 Ta 0.0000 0.0000 0.0000
2 Fe 0.7500 0.7500 0.7500
3 Cu 0.5000 0.5000 0.5000
4 As 0.2500 0.2500 0.2500

Computed properties:
Its space group is F-43m (216). The value obtained for the theoretical density is 10.9 g/cm3. The total energy is -6.94 eV/atom. The calculation puts the total magnetization at 1.22 μB/cell.

Record 9
The following is a PBE calculation of a geometry-optimized FeCuAsW structure, from the Open Quantum Materials Database.

Lattice parameters (Å, degrees): 4.2381 4.2381 4.2381 60.00 60.00 60.00
Atoms (fractional coordinates):
1 Fe 0.0000 0.0000 0.0000
2 Cu 0.2500 0.2500 0.2500
3 As 0.7500 0.7500 0.7500
4 W 0.5000 0.5000 0.5000

Computed properties:
Its space group is F-43m (216). The value obtained for the theoretical density is 11.7 g/cm3. The total energy is -7.04 eV/atom. The calculation puts the total magnetization at 1.70 μB/cell.

Record 10
The following is a PBE calculation of a geometry-optimized FeCuAsW structure, from the Open Quantum Materials Database.

Lattice parameters (Å, degrees): 4.2681 4.2681 4.2681 60.00 60.00 60.00
Atoms (fractional coordinates):
1 Fe 0.0000 0.0000 0.0000
2 Cu 0.7500 0.7500 0.7500
3 As 0.5000 0.5000 0.5000
4 W 0.2500 0.2500 0.2500

Computed properties:
Its space group is F-43m (216). The value obtained for the theoretical density is 11.4 g/cm3. The total energy is -7.03 eV/atom. The calculation puts the total magnetization at 1.77 μB/cell.

Record 11
The following is a PBE calculation of a geometry-optimized YFeCuAs structure, from the Open Quantum Materials Database.

Lattice parameters (Å, degrees): 4.6204 4.6204 4.6204 60.00 60.00 60.00
Atoms (fractional coordinates):
1 Y 0.0000 0.0000 0.0000
2 Fe 0.7500 0.7500 0.7500
3 Cu 0.5000 0.5000 0.5000
4 As 0.2500 0.2500 0.2500

Computed properties:
Its space group is F-43m (216). The value obtained for the theoretical density is 6.7 g/cm3. The total energy is -5.73 eV/atom. The calculation puts the total magnetization at 2.24 μB/cell.

Record 12
The following is a PBE calculation of a geometry-optimized YFeCuAs structure, from the Open Quantum Materials Database.

Lattice parameters (Å, degrees): 4.5243 4.5243 4.5243 60.00 60.00 60.00
Atoms (fractional coordinates):
1 Y 0.0000 0.0000 0.0000
2 Fe 0.2500 0.2500 0.2500
3 Cu 0.7500 0.7500 0.7500
4 As 0.5000 0.5000 0.5000

Computed properties:
Its space group is F-43m (216). The value obtained for the theoretical density is 7.2 g/cm3. The total energy is -5.80 eV/atom. The calculation puts the total magnetization at 1.64 μB/cell.

Q: Among the records above, which one has the highest total energy?
A: ScFeCu4As2